(1)
Material: Pb3O
Method: DFT, PBE
State: relaxed

Summary:
The value obtained for the uncorrected formation energy is -106.2 kJ/mol of formula units. Its space group is Imm2 (44). The calculation puts the distance to the lowest polymorph of the same formula at 0.0 meV/atom.

Cell: 5.9933 5.9933 5.9933 Å, 146.21 70.28 120.42°
Atoms (fractional coordinates):
Pb 0.0000 0.0000 0.0000
Pb 0.3227 0.4994 0.8233
Pb 0.6761 0.4994 0.1767
O 0.4907 0.9907 0.5000

(2)
Material: Ce3BeSi6Pd2
Method: DFT, PBE
State: relaxed

Summary:
The value obtained for the uncorrected formation energy is -444.1 kJ/mol of formula units. Its space group is P-3m1 (164).

Cell: 5.6943 5.6943 8.0015 Å, 90.00 90.00 120.00°
Atoms (fractional coordinates):
Ce 0.0000 0.0000 0.0000
Ce 0.3333 0.6667 0.6274
Ce 0.6667 0.3333 0.3726
Be 0.0000 0.0000 0.5000
Si 0.1865 0.3730 0.2972
Si 0.1865 0.8135 0.2972
Si 0.3730 0.1865 0.7028
Si 0.6270 0.8135 0.2972
Si 0.8135 0.1865 0.7028
Si 0.8135 0.6270 0.7028
Pd 0.3333 0.6667 0.0433
Pd 0.6667 0.3333 0.9567

(3)
Material: In2OsCl
Method: DFT, PBE
State: relaxed

Summary:
The value obtained for the uncorrected formation energy is 262.9 kJ/mol of formula units. Its space group is Pmmm (47). The calculation puts the distance to the lowest polymorph of the same formula at 657.3 meV/atom.

Cell: 3.1593 4.6416 6.5595 Å, 90.00 90.00 90.00°
Atoms (fractional coordinates):
In 0.0000 0.0000 0.0000
In 0.5000 0.0000 0.5000
Os 0.0000 0.5000 0.5000
Cl 0.5000 0.5000 0.0000

(4)
Material: PuTlP2S8
Method: DFT, PBE
State: relaxed

Summary:
The value obtained for the uncorrected formation energy is -479.9 kJ/mol of formula units. Its space group is R-3 (148).

Cell: 10.0689 10.0689 10.0689 Å, 35.45 35.45 35.45°
Atoms (fractional coordinates):
Pu 0.0000 0.0000 0.0000
Tl 0.5000 0.5000 0.5000
P 0.2535 0.2535 0.2535
P 0.7465 0.7465 0.7465
S 0.0526 0.7033 0.4123
S 0.1832 0.1832 0.1832
S 0.2967 0.5877 0.9474
S 0.4123 0.0526 0.7033
S 0.5877 0.9474 0.2967
S 0.7033 0.4123 0.0526
S 0.8168 0.8168 0.8168
S 0.9474 0.2967 0.5877

(5)
Material: Er2AlAu2
Method: DFT, PBE
State: relaxed

Summary:
Its space group is Ibam (72). The calculated formation energy comes out at -0.684 eV/atom.

Cell: 7.4233 7.4233 7.4233 Å, 123.28 75.82 134.13°
Atoms (fractional coordinates):
Er 0.1549 0.1684 0.3233
Er 0.3451 0.6684 0.0135
Er 0.6549 0.3316 0.9865
Er 0.8451 0.8316 0.6767
Al 0.2500 0.7500 0.5000
Al 0.7500 0.2500 0.5000
Au 0.1067 0.7581 0.8648
Au 0.3933 0.2581 0.6514
Au 0.6067 0.7419 0.3486
Au 0.8933 0.2419 0.1352

(6)
Material: RbMgHg2Cl8
Method: DFT, PBE
State: relaxed

Summary:
The value obtained for the uncorrected formation energy is -1145.1 kJ/mol of formula units. Its space group is P-3 (147).

Cell: 6.5790 6.5790 9.4087 Å, 90.00 90.00 120.00°
Atoms (fractional coordinates):
Rb 0.0000 0.0000 0.0000
Mg 0.0000 0.0000 0.5000
Hg 0.3333 0.6667 0.7207
Hg 0.6667 0.3333 0.2793
Cl 0.0346 0.7144 0.3383
Cl 0.2856 0.3202 0.3383
Cl 0.3202 0.0346 0.6617
Cl 0.3333 0.6667 0.9923
Cl 0.6667 0.3333 0.0077
Cl 0.6798 0.9654 0.3383
Cl 0.7144 0.6798 0.6617
Cl 0.9654 0.2856 0.6617

| no. | volume (A^3/atom) | density of states at the Fermi level (states/eV per cell) |
| --- | --- | --- |
| 1 | 25.42 | 2.1 |
| 2 | 18.72 | 11.5 |
| 3 | 24.05 | 2.0 |
| 4 | 25.57 | 7.6 |
| 5 | 23.90 | 4.4 |
| 6 | 29.39 | 16.9 |